Entry from the Alexandria database: an optimized crystal structure of Y2ReHg (PBE).

Values from the calculation:
- calculated formation energy (eV per atom) = 0.82
- SG = I-42d, No. 122
- volume (Å³ per cell) = 203
- density of states at the Fermi level (states/eV/cell) = 7.02
- total magnetization (Bohr magnetons per cell) = 1.90
- crystal system = tetragonal

Cell lengths 10.293, 10.293, 10.293 Å; angles 154.42, 154.42, 36.49 degrees
Sites, in units of the cell vectors:
1 Y 0.108 0.625 0.983
2 Y 0.375 0.358 0.483
3 Y 0.642 0.125 0.017
4 Y 0.875 0.892 0.517
5 Re 0.000 0.000 0.000
6 Re 0.750 0.250 0.500
7 Hg 0.250 0.750 0.500
8 Hg 0.500 0.500 0.000

Entry from the Alexandria database: an optimized crystal structure of Y2ReHg (PBE).

Values from the calculation:
- calculated formation energy (eV per atom) = 0.21
- SG = C2/m, No. 12
- volume (Å³ per cell) = 103
- density of states at the Fermi level (states/eV/cell) = 3.12
- total magnetization (Bohr magnetons per cell) = 0.00
- crystal system = monoclinic

Cell lengths 4.283, 4.283, 7.864 Å; angles 99.23, 99.23, 46.30 degrees
Sites, in units of the cell vectors:
1 Y 0.241 0.241 0.210
2 Y 0.759 0.759 0.790
3 Re 0.500 0.500 0.000
4 Hg 0.000 0.000 0.500

Entry from the Alexandria database: an optimized crystal structure of Y2ReHg (PBE).

Values from the calculation:
- calculated formation energy (eV per atom) = 0.13
- SG = Imm2, No. 44
- volume (Å³ per cell) = 94
- density of states at the Fermi level (states/eV/cell) = 4.49
- total magnetization (Bohr magnetons per cell) = 0.00
- crystal system = orthorhombic

Cell lengths 6.203, 6.203, 6.203 Å; angles 147.27, 132.61, 58.79 degrees
Sites, in units of the cell vectors:
1 Y 0.000 0.000 0.000
2 Y 0.702 0.202 0.500
3 Re 0.482 0.482 0.000
4 Hg 0.276 0.776 0.500

Entry from the Alexandria database: an optimized crystal structure of Y3ReHg (PBE).

Values from the calculation:
- E above lowest polymorph (meV/atom) = 0
- calculated formation energy (eV per atom) = 0.22
- SG = Pm-3m, No. 221
- volume (Å³ per cell) = 157
- density of states at the Fermi level (states/eV/cell) = 5.00
- total magnetization (Bohr magnetons per cell) = 0.00
- crystal system = cubic

Cell lengths 5.392, 5.392, 5.392 Å; angles 90.00, 90.00, 90.00 degrees
Sites, in units of the cell vectors:
1 Y 0.000 0.000 0.500
2 Y 0.000 0.500 0.000
3 Y 0.500 0.000 0.000
4 Re 0.000 0.000 0.000
5 Hg 0.500 0.500 0.500